This record from the Alexandria database describes Mn3Al after structural relaxation. The functional is PBEsol.

Geometry as POSCAR:
```
Mn3Al
1.0
2.537 0.000 0.000
1.268 2.197 0.000
1.268 0.732 8.038
Mn Al
3 1
Direct
0.754 0.754 0.737 Mn
0.246 0.246 0.263 Mn
0.500 0.500 0.500 Mn
0.000 0.000 0.000 Al
```

Computed properties:
energy relative to the elements	67	meV/atom



This record from the Alexandria database describes Mn2Al after structural relaxation. The functional is PBEsol.

Geometry as POSCAR:
```
Mn2Al
1.0
2.798 0.000 0.000
0.000 4.037 0.000
-1.399 0.000 6.019
Al Mn
2 4
Direct
0.082 0.250 0.164 Al
0.918 0.750 0.836 Al
0.757 0.250 0.513 Mn
0.406 0.250 0.813 Mn
0.243 0.750 0.487 Mn
0.594 0.750 0.187 Mn
```

Computed properties:
energy relative to the elements	-153	meV/atom



This record from the Alexandria database describes Mn2AlMo after structural relaxation. The functional is PBEsol.

Geometry as POSCAR:
```
Mn2AlMo
1.0
2.963 0.000 0.000
0.000 4.083 0.000
0.000 0.000 4.083
Mn Mo Al
2 1 1
Direct
0.000 0.500 0.000 Mn
0.000 0.000 0.500 Mn
0.500 0.500 0.500 Mo
0.500 0.000 0.000 Al
```

Computed properties:
energy relative to the elements	-114	meV/atom



This record from the Alexandria database describes Mn2AlMo after structural relaxation. The functional is PBEsol.

Geometry as POSCAR:
```
Mn2AlMo
1.0
3.508 0.000 0.000
0.000 3.508 0.000
-1.754 -1.754 4.117
Mn Al Mo
2 1 1
Direct
0.750 0.250 0.500 Mn
0.000 0.000 0.000 Mn
0.250 0.750 0.500 Al
0.500 0.500 0.000 Mo
```

Computed properties:
energy relative to the elements	-1	meV/atom



This record from the Alexandria database describes MnAlMo2 after structural relaxation. The functional is PBEsol.

Geometry as POSCAR:
```
MnAlMo2
1.0
-1.353 1.876 1.347
-2.106 0.873 -3.331
-3.526 -3.489 1.316
Mo Al Mn
2 1 1
Direct
0.000 0.000 0.256 Mo
0.000 0.000 0.744 Mo
0.500 0.500 0.000 Al
0.500 0.500 0.500 Mn
```

Computed properties:
energy relative to the elements	41	meV/atom



This record from the Alexandria database describes MnAlMo2 after structural relaxation. The functional is PBEsol.

Geometry as POSCAR:
```
MnAlMo2
1.0
2.664 0.000 -0.005
0.000 4.152 0.000
-1.336 0.000 5.031
Mo Mn Al
2 1 1
Direct
0.775 0.000 0.746 Mo
0.225 0.000 0.254 Mo
0.000 0.500 0.500 Mn
0.500 0.500 0.000 Al
```

Computed properties:
energy relative to the elements	-20	meV/atom



This record from the Alexandria database describes MnAlMo2 after structural relaxation. The functional is PBEsol.

Geometry as POSCAR:
```
MnAlMo2
1.0
2.775 0.000 0.000
0.000 2.775 0.000
0.000 0.000 7.238
Mo Al Mn
2 1 1
Direct
0.000 0.000 0.277 Mo
0.000 0.000 0.723 Mo
0.500 0.500 0.000 Al
0.500 0.500 0.500 Mn
```

Computed properties:
energy relative to the elements	25	meV/atom



This record from the Alexandria database describes MnAlMo after structural relaxation. The functional is PBEsol.

Geometry as POSCAR:
```
MnAlMo
1.0
2.666 0.000 0.000
0.000 4.166 0.000
0.000 -2.083 3.608
Al Mo Mn
1 1 1
Direct
0.963 0.000 0.000 Al
0.394 0.333 0.667 Mo
0.644 0.667 0.333 Mn
```

Computed properties:
energy relative to the elements	-109	meV/atom
ΔE to the lowest computed polymorph	91	meV per atom



This record from the Alexandria database describes MnAl3Mo after structural relaxation. The functional is PBEsol.

Geometry as POSCAR:
```
MnAl3Mo
1.0
-1.221 4.579 -0.017
-2.964 -0.804 -3.609
-3.490 -0.919 3.071
Al Mn Mo
3 1 1
Direct
0.500 0.000 0.000 Al
0.000 0.000 0.500 Al
0.000 0.500 0.000 Al
0.500 0.500 0.500 Mn
0.000 0.000 0.000 Mo
```

Computed properties:
energy relative to the elements	919	meV/atom



This record from the Alexandria database describes MnAlMo after structural relaxation. The functional is PBEsol.

Geometry as POSCAR:
```
MnAlMo
1.0
-1.390 1.098 -2.348
0.164 -2.621 -1.323
-3.405 -0.413 3.664
Al Mo Mn
1 1 1
Direct
0.009 0.009 0.018 Al
0.318 0.318 0.636 Mo
0.673 0.673 0.345 Mn
```

Computed properties:
energy relative to the elements	-200	meV/atom
ΔE to the lowest computed polymorph	0	meV per atom



This record from the Alexandria database describes MnAlMo after structural relaxation. The functional is PBEsol.

Geometry as POSCAR:
```
MnAlMo
1.0
2.650 0.000 0.000
0.000 3.915 0.000
-1.325 -1.958 3.920
Mn Al Mo
1 1 1
Direct
0.338 0.338 0.677 Mn
0.996 0.996 0.993 Al
0.665 0.665 0.331 Mo
```

Computed properties:
energy relative to the elements	19	meV/atom
ΔE to the lowest computed polymorph	218	meV per atom



This record from the Alexandria database describes Mn4AlMo after structural relaxation. The functional is PBEsol.

Geometry as POSCAR:
```
Mn4AlMo
1.0
4.641 0.000 0.000
2.321 4.019 0.000
2.321 1.340 3.790
Mn Al Mo
4 1 1
Direct
0.374 0.374 0.374 Mn
0.374 0.879 0.374 Mn
0.879 0.374 0.374 Mn
0.374 0.374 0.879 Mn
0.000 0.000 0.000 Al
0.750 0.750 0.750 Mo
```

Computed properties:
energy relative to the elements	-104	meV/atom



This record from the Alexandria database describes Mn2AlMo after structural relaxation. The functional is PBEsol.

Geometry as POSCAR:
```
Mn2AlMo
1.0
2.649 -0.028 0.000
-0.387 2.620 0.000
0.000 0.000 7.481
Al Mn Mo
1 2 1
Direct
0.500 0.500 0.000 Al
0.000 0.000 0.241 Mn
0.000 0.000 0.759 Mn
0.500 0.500 0.500 Mo
```

Computed properties:
energy relative to the elements	59	meV/atom



This record from the Alexandria database describes MnAlN2 after structural relaxation. The functional is PBEsol.

Geometry as POSCAR:
```
MnAlN2
1.0
2.955 0.000 0.000
1.478 2.559 0.000
1.478 0.853 5.570
Al N Mn
1 2 1
Direct
0.500 0.500 0.500 Al
0.895 0.895 0.314 N
0.105 0.105 0.686 N
0.000 0.000 0.000 Mn
```

Computed properties:
ΔE_f (raw)	-0.21	eV/atom